1.
The following is a PBE-GGA calculation of a geometry-optimized CrBPAuI structure, from Alexandria.

## Properties
The energy relative to the elements, uncorrected comes out at 0.198 eV per atom. The value obtained for the energy relative to the lowest polymorph listed for this composition is 0.086 eV/atom.

POSCAR file:
```
CrBPAuI
1.0
-1.381 -1.570 2.446
3.679 -3.923 1.677
3.760 4.618 5.098
I Cr B P Au
1 1 1 1 1
direct
0.699 0.767 0.757
0.566 0.031 0.458
0.003 0.158 0.261
0.417 0.331 0.197
0.208 0.749 0.272
```

---

2.
The following is a PBE-GGA calculation of a geometry-optimized Ba2LaI structure, from Alexandria.

## Properties
The energy relative to the elements, uncorrected comes out at -0.479 eV per atom. The value obtained for the energy relative to the lowest polymorph listed for this composition is 0.000 eV/atom.

POSCAR file:
```
Ba2LaI
1.0
-1.165 -1.425 3.657
3.788 0.587 1.435
-2.777 10.287 3.123
Ba I La
2 1 1
direct
0.000 0.000 0.774
0.000 0.000 0.226
0.500 0.500 0.000
0.500 0.500 0.500
```

---

3.
The following is a PBE-GGA calculation of a geometry-optimized BaBiAu structure, from Alexandria.

## Properties
The calculation puts the formation energy at -0.385 eV/atom.

POSCAR file:
```
BaBiAu
1.0
4.705 0.000 0.000
0.000 4.705 0.000
-2.352 -2.352 4.807
Ba Au Bi
1 1 1
direct
0.948 0.948 0.896
0.305 0.305 0.609
0.598 0.598 0.195
```

---

4.
The following is a PBE-GGA calculation of a geometry-optimized Ca2TbGd structure, from Alexandria.

## Properties
The value obtained for the energy relative to the lowest polymorph listed for this composition is 0.013 eV/atom. The calculation puts the formation energy at 0.169 eV/atom.

POSCAR file:
```
Ca2TbGd
1.0
5.873 0.000 0.000
2.937 5.087 0.000
2.937 1.696 4.796
Ca Tb Gd
2 1 1
direct
0.250 0.250 0.250
0.750 0.750 0.750
0.000 0.000 0.000
0.500 0.500 0.500
```

---

no.,calculated total energy (eV/atom)
1,-5.11
2,-3.06
3,-3.41
4,-5.51